[1]
Entry from Alexandria: a geometry-optimized NiPIr2 structure (GGA-PBE).

a b c (Å): 2.8196 3.8168 5.0340
angles (deg): 90.00 90.00 90.00
Fractional coordinates of all 4 atoms:
Ni 0.0000 0.0000 0.0000
P 0.5000 0.5000 0.3413
Ir 0.0000 0.0000 0.4968
Ir 0.5000 0.5000 0.8710

Output
- M_tot (Bohr magnetons per cell) = 0.0
- E_tot (eV per cell) = -28.68



[2]
Entry from Alexandria: a geometry-optimized NiP2Ir structure (GGA-PBE).

a b c (Å): 3.9562 2.8984 4.9041
angles (deg): 90.00 111.61 90.00
Fractional coordinates of all 4 atoms:
Ni 0.0000 0.0000 0.0000
P 0.0000 0.0000 0.5000
P 0.5000 0.5000 0.0000
Ir 0.5000 0.5000 0.5000

Output
- M_tot (Bohr magnetons per cell) = 0.0
- E_tot (eV per cell) = -25.71



[3]
Entry from Alexandria: a geometry-optimized Ni2PIr structure (GGA-PBE).

a b c (Å): 2.9532 2.9532 5.4607
angles (deg): 90.00 90.00 90.00
Fractional coordinates of all 4 atoms:
Ni 0.0000 0.0000 0.0000
Ni 0.5000 0.5000 0.2337
P 0.0000 0.0000 0.4375
Ir 0.5000 0.5000 0.7119

Output
- M_tot (Bohr magnetons per cell) = 0.0
- E_tot (eV per cell) = -26.23



[4]
Entry from Alexandria: a geometry-optimized NiPIr2 structure (GGA-PBE).

a b c (Å): 4.3073 4.3073 2.8603
angles (deg): 90.00 90.00 100.43
Fractional coordinates of all 4 atoms:
Ni 0.0000 0.0000 0.0000
P 0.5000 0.5000 0.0000
Ir 0.0000 0.5000 0.5000
Ir 0.5000 0.0000 0.5000

Output
- M_tot (Bohr magnetons per cell) = 0.0
- E_tot (eV per cell) = -28.72



[5]
Entry from Alexandria: a geometry-optimized Ni2PIr structure (GGA-PBE).

a b c (Å): 2.6790 2.6790 7.9810
angles (deg): 90.00 90.00 118.99
Fractional coordinates of all 4 atoms:
Ni 0.0000 0.0000 0.2188
Ni 0.0000 0.0000 0.7812
P 0.5000 0.5000 0.0000
Ir 0.5000 0.5000 0.5000

Output
- M_tot (Bohr magnetons per cell) = 0.0
- E_tot (eV per cell) = -25.46



[6]
Entry from Alexandria: a geometry-optimized NiPIr2 structure (GGA-PBE).

a b c (Å): 5.1867 5.1867 5.1867
angles (deg): 148.27 133.41 57.47
Fractional coordinates of all 4 atoms:
Ni 0.0000 0.0000 0.0000
P 0.8046 0.3046 0.5000
Ir 0.3156 0.8156 0.5000
Ir 0.5987 0.5987 0.0000

Output
- M_tot (Bohr magnetons per cell) = 0.0
- E_tot (eV per cell) = -29.19



[7]
Entry from Alexandria: a geometry-optimized NiPIr2 structure (GGA-PBE).

a b c (Å): 5.6814 5.6814 5.6814
angles (deg): 151.57 140.80 49.13
Fractional coordinates of all 4 atoms:
Ni 0.0000 0.0000 0.0000
P 0.5000 0.5000 0.0000
Ir 0.3169 0.8169 0.5000
Ir 0.6831 0.1831 0.5000

Output
- M_tot (Bohr magnetons per cell) = 0.0
- E_tot (eV per cell) = -29.25



[8]
Entry from Alexandria: a geometry-optimized Ni2PIr structure (GGA-PBE).

a b c (Å): 4.8408 4.8408 4.8408
angles (deg): 146.67 129.05 62.26
Fractional coordinates of all 4 atoms:
Ni 0.2110 0.2110 0.0000
Ni 0.7890 0.7890 0.0000
P 0.0000 0.5000 0.5000
Ir 0.5000 0.0000 0.5000

Output
- M_tot (Bohr magnetons per cell) = 0.0
- E_tot (eV per cell) = -26.59



[9]
Entry from Alexandria: a geometry-optimized NiP2Ir structure (GGA-PBE).

a b c (Å): 2.8511 2.8511 7.4125
angles (deg): 90.00 90.00 90.00
Fractional coordinates of all 4 atoms:
Ni 0.0000 0.0000 0.0000
P 0.0000 0.0000 0.5513
P 0.5000 0.5000 0.1487
Ir 0.5000 0.5000 0.7314

Output
- M_tot (Bohr magnetons per cell) = 0.0
- E_tot (eV per cell) = -25.83



[10]
Entry from Alexandria: a geometry-optimized NiP2Ir structure (GGA-PBE).

a b c (Å): 4.2124 4.2124 4.2124
angles (deg): 60.00 60.00 60.00
Fractional coordinates of all 4 atoms:
Ni 0.0000 0.0000 0.0000
P 0.5000 0.5000 0.5000
P 0.7500 0.7500 0.7500
Ir 0.2500 0.2500 0.2500

Output
- M_tot (Bohr magnetons per cell) = 0.0
- E_tot (eV per cell) = -23.74



[11]
Entry from Alexandria: a geometry-optimized Ni2PIr structure (GGA-PBE).

a b c (Å): 7.8197 7.8197 7.8197
angles (deg): 19.98 19.98 19.98
Fractional coordinates of all 4 atoms:
Ni 0.2388 0.2388 0.2388
Ni 0.7612 0.7612 0.7612
P 0.5000 0.5000 0.5000
Ir 0.0000 0.0000 0.0000

Output
- M_tot (Bohr magnetons per cell) = 0.5
- E_tot (eV per cell) = -26.21



[12]
Entry from Alexandria: a geometry-optimized Ni2PIr structure (GGA-PBE).

a b c (Å): 2.8128 3.7220 4.8461
angles (deg): 90.00 105.77 90.00
Fractional coordinates of all 4 atoms:
Ni 0.1431 0.0000 0.2781
Ni 0.8569 0.0000 0.7219
P 0.5000 0.5000 0.5000
Ir 0.5000 0.5000 0.0000

Output
- M_tot (Bohr magnetons per cell) = 0.0
- E_tot (eV per cell) = -26.34